A geometry-optimized BaTmCdSn structure, computed with PBE.

Cell and atoms, written as POSCAR:
```
BaTmCdSn
1.0
0.000 3.967 3.967
3.967 0.000 3.967
3.967 3.967 0.000
Ba Tm Cd Sn
1 1 1 1
Cartesian
0.000 0.000 0.000
3.967 3.967 3.967
5.951 5.951 5.951
1.984 1.984 1.984
```

Symmetry: F-43m
E_tot in eV per formula unit: -12.7